## CaPa2C (GGA-PBE)

Data for CaPa2C after structural relaxation.

- Formation energy: 0.03 eV/atom
- Total magnetization: 0.001 Bohr magnetons per cell
- Calculated density: 8.88 g/cm³
- N(E_F): 1.394 states/eV per atom
- V: 24.0 Å³ per atom
- Final energy: -7.528 eV/atom

a b c (Å): 9.996 9.996 9.996
angles (deg): 19.37 19.37 19.37
Fractional positions:
Ca (0.000, 0.000, 0.000)
Pa (0.116, 0.116, 0.116)
Pa (0.884, 0.884, 0.884)
C (0.500, 0.500, 0.500)

***

## CaPaC2 (GGA-PBE)

Data for CaPaC2 after structural relaxation.

- Formation energy: -0.02 eV/atom
- Total magnetization: 0.000 Bohr magnetons per cell
- Calculated density: 7.25 g/cm³
- N(E_F): 1.039 states/eV per atom
- V: 16.9 Å³ per atom
- Final energy: -7.502 eV/atom

a b c (Å): 6.255 6.255 6.255
angles (deg): 33.84 33.84 33.84
Fractional positions:
Ca (0.000, 0.000, 0.000)
Pa (0.500, 0.500, 0.500)
C (0.234, 0.234, 0.234)
C (0.766, 0.766, 0.766)

***

## Ca2PbC (GGA-PBE)

Data for Ca2PbC after structural relaxation.

- Formation energy: 0.44 eV/atom
- Total magnetization: 0.913 Bohr magnetons per cell
- Calculated density: 4.84 g/cm³
- N(E_F): 1.329 states/eV per atom
- V: 25.7 Å³ per atom
- Final energy: -3.798 eV/atom

a b c (Å): 6.476 6.476 6.476
angles (deg): 105.31 105.31 118.16
Fractional positions:
Ca (0.029, 0.125, 0.404)
Ca (0.375, 0.971, 0.096)
Ca (0.721, 0.625, 0.596)
Ca (0.875, 0.279, 0.904)
Pb (0.250, 0.750, 0.500)
Pb (0.500, 0.500, 0.000)
C (0.000, 0.000, 0.000)
C (0.750, 0.250, 0.500)

***

## Ca2PbC (GGA-PBE)

Data for Ca2PbC after structural relaxation.

- Formation energy: 0.67 eV/atom
- Total magnetization: 0.000 Bohr magnetons per cell
- Calculated density: 5.19 g/cm³
- N(E_F): 0.605 states/eV per atom
- V: 23.9 Å³ per atom
- Final energy: -3.564 eV/atom

a b c (Å): 5.135 5.135 5.135
angles (deg): 60.00 60.00 60.00
Fractional positions:
Ca (0.250, 0.250, 0.250)
Ca (0.750, 0.750, 0.750)
Pb (0.000, 0.000, 0.000)
C (0.500, 0.500, 0.500)

***

Which of these has the lowest final energy?
CaPa2C

***

Number 1 is which compound?
CaPa2C